[1]
A relaxed Mn7Rh crystal, computed with PBE.

a = 5.049 Å, b = 5.049 Å, c = 5.049 Å
α = 60.00°, β = 60.00°, γ = 60.00°
Positions (direct):
Mn1 0.000 0.000 0.000
Mn2 0.000 0.000 0.500
Mn3 0.000 0.500 0.000
Mn4 0.000 0.500 0.500
Mn5 0.500 0.000 0.000
Mn6 0.500 0.000 0.500
Mn7 0.500 0.500 0.000
Rh1 0.500 0.500 0.500

Computed properties:
total magnetization	0.8	μB/cell
space-group type	Fm-3m
final energy	-70.926	eV/cell

***

[2]
A relaxed SrBiPb2Se4 crystal, computed with PBE.

a = 7.537 Å, b = 4.407 Å, c = 7.701 Å
α = 90.00°, β = 109.20°, γ = 90.00°
Positions (direct):
Sr1 0.000 0.000 0.000
Bi1 0.500 0.500 0.000
Pb1 0.000 0.500 0.500
Pb2 0.500 0.000 0.500
Se1 0.255 0.500 0.246
Se2 0.260 0.000 0.758
Se3 0.740 0.000 0.242
Se4 0.745 0.500 0.754

Computed properties:
total magnetization	0.0	μB/cell
space-group type	P2/m
final energy	-33.372	eV/cell

***

[3]
A relaxed K2BeCl4 crystal, computed with PBE.

a = 8.903 Å, b = 6.918 Å, c = 12.333 Å
α = 90.00°, β = 90.00°, γ = 90.00°
Positions (direct):
K1 0.017 0.250 0.176
K2 0.136 0.750 0.420
K3 0.364 0.250 0.920
K4 0.483 0.750 0.676
K5 0.517 0.250 0.324
K6 0.636 0.750 0.080
K7 0.864 0.250 0.580
K8 0.983 0.750 0.824
Be1 0.231 0.750 0.076
Be2 0.269 0.250 0.576
Be3 0.731 0.750 0.424
Be4 0.769 0.250 0.924
Cl1 0.005 0.750 0.085
Cl2 0.183 0.011 0.650
Cl3 0.183 0.489 0.650
Cl4 0.191 0.250 0.420
Cl5 0.309 0.750 0.920
Cl6 0.317 0.511 0.150
Cl7 0.317 0.989 0.150
Cl8 0.495 0.250 0.585
Cl9 0.505 0.750 0.415
Cl10 0.683 0.011 0.850
Cl11 0.683 0.489 0.850
Cl12 0.691 0.250 0.080
Cl13 0.809 0.750 0.580
Cl14 0.817 0.511 0.350
Cl15 0.817 0.989 0.350
Cl16 0.995 0.250 0.915

Computed properties:
total magnetization	0.0	μB/cell
space-group type	Pnma
final energy	-103.124	eV/cell

***

[4]
A relaxed HoErTmPa crystal, computed with PBE.

a = 5.508 Å, b = 5.508 Å, c = 5.508 Å
α = 60.00°, β = 60.00°, γ = 60.00°
Positions (direct):
Ho1 0.000 0.000 0.000
Er1 0.500 0.500 0.500
Tm1 0.250 0.250 0.250
Pa1 0.750 0.750 0.750

Computed properties:
total magnetization	1.1	μB/cell
space-group type	F-43m
final energy	-21.761	eV/cell

***

[5]
A relaxed EuCuAg crystal, computed with PBE.

a = 4.570 Å, b = 4.570 Å, c = 3.855 Å
α = 90.00°, β = 90.00°, γ = 120.00°
Positions (direct):
Eu1 0.000 0.000 0.000
Cu1 0.667 0.333 0.500
Ag1 0.333 0.667 0.500

Computed properties:
total magnetization	7.2	μB/cell
space-group type	P-6m2
final energy	-17.785	eV/cell

***

[6]
A relaxed SrCu2F crystal, computed with PBE.

a = 12.069 Å, b = 12.069 Å, c = 12.069 Å
α = 163.39°, β = 163.39°, γ = 23.58°
Positions (direct):
Sr1 0.000 0.000 0.000
Sr2 0.750 0.250 0.500
Cu1 0.126 0.125 0.501
Cu2 0.375 0.874 0.999
Cu3 0.624 0.625 0.499
Cu4 0.875 0.376 0.001
F1 0.250 0.750 0.500
F2 0.500 0.500 0.000

Computed properties:
total magnetization	0.0	μB/cell
space-group type	I-42d
final energy	-32.812	eV/cell

***

[7]
A relaxed KAcAs2 crystal, computed with PBE.

a = 5.156 Å, b = 5.156 Å, c = 4.273 Å
α = 90.00°, β = 90.00°, γ = 90.00°
Positions (direct):
K1 0.000 0.000 0.000
Ac1 0.500 0.500 0.000
As1 0.000 0.500 0.500
As2 0.500 0.000 0.500

Computed properties:
total magnetization	0.0	μB/cell
space-group type	P4/mmm
final energy	-17.009	eV/cell

***

[8]
A relaxed LiCoPd2 crystal, computed with PBE.

a = 8.667 Å, b = 8.667 Å, c = 8.667 Å
α = 18.19°, β = 18.19°, γ = 18.19°
Positions (direct):
Li1 0.000 0.000 0.000
Co1 0.500 0.500 0.500
Pd1 0.249 0.249 0.249
Pd2 0.751 0.751 0.751

Computed properties:
total magnetization	2.2	μB/cell
space-group type	R-3m
final energy	-19.820	eV/cell